# HfPaCo10 PBE optimized geometry
data_HfPaCo10
_cell_length_a 3.997
_cell_length_b 4.772
_cell_length_c 8.269
_cell_angle_alpha 90.00
_cell_angle_beta 90.00
_cell_angle_gamma 90.00
_symmetry_space_group_name_H-M 'P m m m'
_symmetry_Int_Tables_number 47
loop_
_symmetry_equiv_pos_as_xyz
'x,y,z'
'-x,-y,-z'
'-x,-y,z'
'x,y,-z'
'x,-y,-z'
'-x,y,z'
'-x,y,-z'
'x,-y,z'
loop_
_atom_site_label
_atom_site_type_symbol
_atom_site_fract_x
_atom_site_fract_y
_atom_site_fract_z
Hf1 Hf 0.000 0.000 0.000
Pa1 Pa 0.000 0.500 0.500
Co1 Co 0.000 0.000 0.336
Co2 Co 0.000 0.500 0.171
Co3 Co 0.500 0.000 0.500
Co4 Co 0.500 0.241 0.240
Co5 Co 0.500 0.500 0.000
# volume	157.7	Å³/cell
# density of states at the Fermi level	16.22	states/eV/cell
# DFT formation energy	-0.1568	eV per atom

***

# Hf2PaCo PBE optimized geometry
data_Hf2PaCo
_cell_length_a 6.338
_cell_length_b 9.055
_cell_length_c 5.729
_cell_angle_alpha 90.00
_cell_angle_beta 90.00
_cell_angle_gamma 90.00
_symmetry_space_group_name_H-M 'P n m a'
_symmetry_Int_Tables_number 62
loop_
_symmetry_equiv_pos_as_xyz
'x,y,z'
'-x,-y,-z'
'-x+1/2,-y,z+1/2'
'x+1/2,y,-z+1/2'
'x+1/2,-y+1/2,-z+1/2'
'-x+1/2,y+1/2,z+1/2'
'-x,y+1/2,-z'
'x,-y+1/2,z'
loop_
_atom_site_label
_atom_site_type_symbol
_atom_site_fract_x
_atom_site_fract_y
_atom_site_fract_z
Hf1 Hf 0.184 0.062 0.153
Pa1 Pa 0.040 0.250 0.654
Co1 Co 0.128 0.750 0.943
# volume	328.7	Å³/cell
# density of states at the Fermi level	21.79	states/eV/cell
# DFT formation energy	-0.2105	eV per atom

***

# Hf2PaCo PBE optimized geometry
data_Hf2PaCo
_cell_length_a 3.162
_cell_length_b 3.162
_cell_length_c 7.918
_cell_angle_alpha 90.00
_cell_angle_beta 90.00
_cell_angle_gamma 90.00
_symmetry_space_group_name_H-M 'P 4/m m m'
_symmetry_Int_Tables_number 123
_symmetry_space_group_name_Hall '-P 4 2'
loop_
_atom_site_label
_atom_site_type_symbol
_atom_site_fract_x
_atom_site_fract_y
_atom_site_fract_z
Hf1 Hf 0.000 0.000 0.196
Pa1 Pa 0.500 0.500 0.500
Co1 Co 0.500 0.500 0.000
# volume	79.2	Å³/cell
# density of states at the Fermi level	7.89	states/eV/cell
# DFT formation energy	-0.1180	eV per atom

***

# HfPaCoRe PBE optimized geometry
data_HfPaCoRe
_cell_length_a 6.633
_cell_length_b 6.633
_cell_length_c 6.633
_cell_angle_alpha 90.00
_cell_angle_beta 90.00
_cell_angle_gamma 90.00
_symmetry_space_group_name_H-M 'F -4 3 m'
_symmetry_Int_Tables_number 216
_symmetry_space_group_name_Hall 'F -4 2 3'
loop_
_atom_site_label
_atom_site_type_symbol
_atom_site_fract_x
_atom_site_fract_y
_atom_site_fract_z
Hf1 Hf 0.000 0.000 0.000
Pa1 Pa 0.000 0.000 0.500
Co1 Co 0.250 0.250 0.250
Re1 Re 0.250 0.250 0.750
# volume	291.8	Å³/cell
# density of states at the Fermi level	17.20	states/eV/cell
# DFT formation energy	-0.1590	eV per atom